## NiAgIr2 (PBEsol)

Data for crystalline NiAgIr2 at its relaxed geometry.

a = 2.7170 Å, b = 4.6358 Å, c = 4.6869 Å
α = 100.19°, β = 90.00°, γ = 107.04°
Closest atoms and distances in Å follow each position.
Sites, in units of the cell vectors:
Ag  0.2463  0.4926  0.7263  3 Ni 2.59-2.66, 7 Ir 2.70-2.84, 2 Ag 2.72
Ir  0.0071  0.0141  0.0385  5 Ir 2.57-2.72, 4 Ni 2.60-2.83, 3 Ag 2.79-2.84
Ir  0.7534  0.5067  0.2300  5 Ir 2.57-2.72, 3 Ni 2.65-2.84, 4 Ag 2.70-2.71
Ni  0.4933  0.9865  0.5052  3 Ag 2.59-2.66, 7 Ir 2.60-2.84, 2 Ni 2.72

Output
* mass density: 16.5 g cm⁻³
* energy: -7.01 eV/atom
* formation energy: 0.27 eV/atom